(1)
The following is a DFT calculation (GGA-PBE) of crystalline Tb2PmYHo5 at its relaxed geometry.

Values from the calculation:
The calculation puts the density of states at the Fermi level at 11.52 states/eV/f.u. The value obtained for the formation energy is 0.287 eV/atom.

a = 8.877 Å, b = 8.877 Å, c = 14.794 Å
α = 90.00°, β = 90.00°, γ = 90.00°
Space group I4/mcm (No. 140)
One atom of each set of equivalent atoms:
Tb (0.113, 0.387, 0.000) [8 per cell]
Pm (0.000, 0.000, 0.250) [4 per cell]
Y (0.000, 0.500, 0.250) [4 per cell]
Ho (0.000, 0.000, 0.000) [4 per cell]
Ho (0.207, 0.293, 0.367) [16 per cell]

---

(2)
The following is a DFT calculation (GGA-PBE) of crystalline Li2MgH6Os at its relaxed geometry.

Values from the calculation:
The calculation puts the density of states at the Fermi level at 0.00 states/eV/f.u. The calculation puts the calculated total energy at -3.9127 eV per atom.

a = 4.829 Å, b = 6.885 Å, c = 5.305 Å
α = 90.00°, β = 90.00°, γ = 90.00°
Space group Pmmn (No. 59, origin choice 2)
One atom of each set of equivalent atoms:
Li (0.250, 0.034, 0.179) [4 per cell]
Mg (0.250, 0.250, 0.694) [2 per cell]
H (0.001, 0.750, 0.012) [4 per cell]
H (0.005, 0.750, 0.558) [4 per cell]
H (0.250, 0.506, 0.809) [4 per cell]
Os (0.250, 0.750, 0.786) [2 per cell]

---

(3)
The following is a DFT calculation (GGA-PBE) of crystalline MnCd2 at its relaxed geometry.

Values from the calculation:
The calculation puts the density of states at the Fermi level at 2.09 states/eV/f.u. The value obtained for the formation energy is 0.221 eV/atom.

a = 5.979 Å, b = 4.320 Å, c = 8.838 Å
α = 90.00°, β = 90.00°, γ = 90.00°
Space group Pnma (No. 62)
One atom of each set of equivalent atoms:
Mn (0.127, 0.250, 0.080) [4 per cell]
Cd (0.105, 0.250, 0.756) [4 per cell]
Cd (0.142, 0.250, 0.420) [4 per cell]

---

(4)
The following is a DFT calculation (GGA-PBE) of crystalline K12Te3H5 at its relaxed geometry.

Values from the calculation:
The calculation puts the density of states at the Fermi level at 6.33 states/eV/f.u. The calculation puts the calculated total energy at -2.4521 eV per atom.

a = 18.091 Å, b = 18.091 Å, c = 18.091 Å
α = 90.00°, β = 90.00°, γ = 90.00°
Space group Ia-3d (No. 230)
One atom of each set of equivalent atoms:
K (0.030, 0.056, 0.652) [96 per cell]
Te (0.000, 0.250, 0.125) [24 per cell]
H (0.000, 0.000, 0.000) [16 per cell]
H (0.000, 0.250, 0.375) [24 per cell]

---

(5)
The following is a DFT calculation (GGA-PBE) of crystalline HfCu2Pd2 at its relaxed geometry.

Values from the calculation:
The calculation puts the density of states at the Fermi level at 1.67 states/eV/f.u. The value obtained for the formation energy is -0.459 eV/atom. For the excess energy over the best structure of this formula in the dataset, the calculation gives 0 meV per atom.

a = 8.664 Å, b = 3.858 Å, c = 6.168 Å
α = 90.00°, β = 133.02°, γ = 90.00°
Space group C2/m (No. 12)
One atom of each set of equivalent atoms:
Hf (0.000, 0.000, 0.000) [2 per cell]
Cu (0.193, 0.000, 0.590) [4 per cell]
Pd (0.091, 0.500, 0.791) [4 per cell]

---

(6)
The following is a DFT calculation (GGA-PBE) of crystalline BaPu2GaO8 at its relaxed geometry.

Values from the calculation:
The calculation puts the density of states at the Fermi level at 7.96 states/eV/f.u. The formation energy (no corrections) is -230 kJ/mol of atoms.

a = 7.644 Å, b = 6.848 Å, c = 7.099 Å
α = 90.00°, β = 93.38°, γ = 90.00°
Space group C2/m (No. 12)
One atom of each set of equivalent atoms:
Ba (0.000, 0.000, 0.000) [2 per cell]
Pu (0.007, 0.500, 0.267) [4 per cell]
Ga (0.000, 0.000, 0.500) [2 per cell]
O (0.008, 0.203, 0.695) [8 per cell]
O (0.157, 0.500, 0.969) [4 per cell]
O (0.180, 0.500, 0.494) [4 per cell]

---

(7)
The following is a DFT calculation (GGA-PBE) of crystalline Zr3BTe at its relaxed geometry.

Values from the calculation:
The calculation puts the density of states at the Fermi level at 4.81 states/eV/f.u. The formation energy (no corrections) is -45 kJ/mol of atoms. For the excess energy over the best structure of this formula in the dataset, the calculation gives 0 meV per atom.

a = 16.371 Å, b = 3.338 Å, c = 7.260 Å
α = 90.00°, β = 90.22°, γ = 90.00°
Space group C2/m (No. 12)
One atom of each set of equivalent atoms:
Zr (0.024, 0.000, 0.219) [4 per cell]
Zr (0.114, 0.500, 0.530) [4 per cell]
Zr (0.216, 0.000, 0.215) [4 per cell]
B (0.239, 0.000, 0.545) [4 per cell]
Te (0.117, 0.500, 0.942) [4 per cell]

---

(8)
The following is a DFT calculation (GGA-PBE) of crystalline Na3TcC at its relaxed geometry.

Values from the calculation:
The calculation puts the density of states at the Fermi level at 1.67 states/eV/f.u. The value obtained for the formation energy is 1.695 eV/atom. For the excess energy over the best structure of this formula in the dataset, the calculation gives 0 meV per atom.

a = 4.963 Å, b = 4.963 Å, c = 4.963 Å
α = 90.00°, β = 90.00°, γ = 90.00°
Space group Pm-3m (No. 221)
One atom of each set of equivalent atoms:
Na (0.000, 0.000, 0.500) [3 per cell]
Tc (0.500, 0.500, 0.500) [1 per cell]
C (0.000, 0.000, 0.000) [1 per cell]